# LiAg3N

Crystalline LiAg3N at its relaxed geometry (PBE, Alexandria).

Results
N(E_F) ... 0.46 states/eV/atom
Magnetization ... 0.000 μB per cell
Polymorph energy (0 for the lowest one) ... 483 kJ/mol of formula units
Formation energy without anion corrections ... 32.98 kcal/mol of atoms

Cell lengths 4.409, 4.409, 4.409 Å; angles 90.00, 90.00, 90.00 degrees
Element x y z (fractional)
Li: 0.000 0.000 0.000
Ag: 0.000 0.000 0.500
Ag: 0.000 0.500 0.000
Ag: 0.500 0.000 0.000
N: 0.500 0.500 0.500

---

# Be2Co2Tc

Crystalline Be2Co2Tc at its relaxed geometry (PBE, Alexandria).

Results
Calculated formation energy ... 12 meV/atom
N(E_F) ... 0.63 states/eV/atom
Magnetization ... 0.000 μB per cell
Polymorph energy (0 for the lowest one) ... 87 kJ/mol of formula units

Cell lengths 6.394, 6.394, 2.518 Å; angles 90.00, 90.00, 90.00 degrees
Element x y z (fractional)
Be: 0.167 0.333 0.000
Be: 0.333 0.833 0.000
Be: 0.667 0.167 0.000
Be: 0.833 0.667 0.000
Co: 0.129 0.629 0.500
Co: 0.371 0.129 0.500
Co: 0.629 0.871 0.500
Co: 0.871 0.371 0.500
Tc: 0.000 0.000 0.500
Tc: 0.500 0.500 0.500

---

no.,total energy (eV/atom)
1,-2.3283
2,-6.3945